1.
Here is a relaxed structure of Rb3Np2CdS6 from Alexandria via LeMat-Bulk. Energies are from PBE-GGA.

Cell lengths 7.0749, 7.0749, 8.0223 Å; angles 98.40, 98.40, 120.00 degrees
Atoms (fractional coordinates):
Rb1 0.0000 0.0000 0.0000
Rb2 0.3380 0.6620 0.0000
Rb3 0.6620 0.3380 0.0000
Np1 0.1671 0.8329 0.5000
Np2 0.8329 0.1671 0.5000
Cd1 0.5000 0.5000 0.5000
S1 0.0928 0.4359 0.3074
S2 0.2215 0.2215 0.6904
S3 0.4359 0.0928 0.3074
S4 0.5641 0.9072 0.6926
S5 0.7785 0.7785 0.3096
S6 0.9072 0.5641 0.6926

Values from the calculation:
energy relative to the elements, uncorrected: -1203 meV per atom
total magnetization: 7.0 μB per cell

2.
Here is a relaxed structure of Rb3Np3CdSe8 from Alexandria via LeMat-Bulk. Energies are from PBE-GGA.

Cell lengths 8.4583, 8.4583, 9.4682 Å; angles 116.54, 116.54, 60.01 degrees
Atoms (fractional coordinates):
Rb1 0.0000 0.0000 0.0000
Rb2 0.0000 0.5000 0.0000
Rb3 0.5000 0.0000 0.0000
Np1 0.0000 0.5000 0.5000
Np2 0.5000 0.0000 0.5000
Np3 0.5000 0.5000 0.5000
Cd1 0.0000 0.0000 0.5000
Se1 0.2325 0.7236 0.6910
Se2 0.2340 0.2340 0.6900
Se3 0.2672 0.2672 0.3051
Se4 0.2764 0.7675 0.3090
Se5 0.7236 0.2325 0.6910
Se6 0.7328 0.7328 0.6949
Se7 0.7660 0.7660 0.3100
Se8 0.7675 0.2764 0.3090

Values from the calculation:
energy relative to the elements, uncorrected: -1318 meV per atom
total magnetization: 10.0 μB per cell

3.
Here is a relaxed structure of Rb2NpCd2Te4 from Alexandria via LeMat-Bulk. Energies are from PBE-GGA.

Cell lengths 8.8004, 8.8004, 8.7467 Å; angles 107.03, 107.03, 31.17 degrees
Atoms (fractional coordinates):
Rb1 0.1283 0.1283 0.0636
Rb2 0.8717 0.8717 0.9364
Np1 0.0000 0.0000 0.5000
Cd1 0.3327 0.3327 0.5160
Cd2 0.6673 0.6673 0.4840
Te1 0.2031 0.2031 0.6870
Te2 0.4940 0.4940 0.7450
Te3 0.5060 0.5060 0.2550
Te4 0.7969 0.7969 0.3130

Values from the calculation:
energy relative to the elements, uncorrected: -662 meV per atom
total magnetization: 4.7 μB per cell

4.
Here is a relaxed structure of Rb2Np2CdTe6 from Alexandria via LeMat-Bulk. Energies are from PBE-GGA.

Cell lengths 7.6764, 7.6764, 9.1435 Å; angles 97.80, 97.80, 120.43 degrees
Atoms (fractional coordinates):
Rb1 0.1641 0.8359 0.0000
Rb2 0.8359 0.1641 0.0000
Np1 0.3332 0.6668 0.5000
Np2 0.6668 0.3332 0.5000
Cd1 0.0000 0.0000 0.5000
Te1 0.0646 0.4033 0.6955
Te2 0.2754 0.2754 0.3054
Te3 0.4033 0.0646 0.6955
Te4 0.5967 0.9354 0.3045
Te5 0.7246 0.7246 0.6946
Te6 0.9354 0.5967 0.3045

Values from the calculation:
energy relative to the elements, uncorrected: -697 meV per atom
total magnetization: 6.0 μB per cell

5.
Here is a relaxed structure of RbNpCdTe3 from Alexandria via LeMat-Bulk. Energies are from PBE-GGA.

Cell lengths 9.8067, 4.5977, 11.0068 Å; angles 90.00, 108.72, 90.00 degrees
Atoms (fractional coordinates):
Rb1 0.2177 0.2500 0.2438
Rb2 0.7823 0.7500 0.7562
Np1 0.3245 0.7500 0.8597
Np2 0.6755 0.2500 0.1403
Cd1 0.0855 0.2500 0.6105
Cd2 0.9145 0.7500 0.3895
Te1 0.1063 0.2500 0.8715
Te2 0.2262 0.7500 0.5428
Te3 0.4663 0.7500 0.1560
Te4 0.5337 0.2500 0.8440
Te5 0.7738 0.2500 0.4572
Te6 0.8937 0.7500 0.1285

Values from the calculation:
energy relative to the elements, uncorrected: -721 meV per atom
total magnetization: 8.0 μB per cell

6.
Here is a relaxed structure of Rb2NpCdTe4 from Alexandria via LeMat-Bulk. Energies are from PBE-GGA.

Cell lengths 7.4130, 7.4130, 7.4130 Å; angles 105.70, 105.70, 117.30 degrees
Atoms (fractional coordinates):
Rb1 0.0000 0.5000 0.5000
Rb2 0.5000 0.0000 0.5000
Np1 0.0000 0.0000 0.0000
Cd1 0.5000 0.5000 0.0000
Te1 0.0826 0.0826 0.6500
Te2 0.4325 0.4325 0.3500
Te3 0.5675 0.9174 0.0000
Te4 0.9174 0.5675 0.0000

Values from the calculation:
energy relative to the elements, uncorrected: -643 meV per atom
total magnetization: 3.0 μB per cell

7.
Here is a relaxed structure of Rb3Np3CdTe8 from Alexandria via LeMat-Bulk. Energies are from PBE-GGA.

Cell lengths 8.9717, 8.9717, 10.0974 Å; angles 116.43, 116.43, 59.94 degrees
Atoms (fractional coordinates):
Rb1 0.0000 0.0000 0.0000
Rb2 0.0000 0.5000 0.0000
Rb3 0.5000 0.0000 0.0000
Np1 0.0000 0.5000 0.5000
Np2 0.5000 0.0000 0.5000
Np3 0.5000 0.5000 0.5000
Cd1 0.0000 0.0000 0.5000
Te1 0.2339 0.7270 0.6949
Te2 0.2354 0.2354 0.6959
Te3 0.2669 0.2669 0.3005
Te4 0.2730 0.7661 0.3051
Te5 0.7270 0.2339 0.6949
Te6 0.7331 0.7331 0.6995
Te7 0.7646 0.7646 0.3041
Te8 0.7661 0.2730 0.3051

Values from the calculation:
energy relative to the elements, uncorrected: -743 meV per atom
total magnetization: 10.0 μB per cell

8.
Here is a relaxed structure of NpCd5Rh6 from Alexandria via LeMat-Bulk. Energies are from PBE-GGA.

Cell lengths 4.6218, 6.5152, 7.2566 Å; angles 90.00, 108.48, 90.00 degrees
Atoms (fractional coordinates):
Np1 0.0000 0.0000 0.0000
Cd1 0.0000 0.5000 0.0000
Cd2 0.3265 0.0000 0.6525
Cd3 0.3314 0.5000 0.6622
Cd4 0.6686 0.5000 0.3378
Cd5 0.6735 0.0000 0.3475
Rh1 0.1573 0.2415 0.3150
Rh2 0.1573 0.7585 0.3150
Rh3 0.5000 0.2383 0.0000
Rh4 0.5000 0.7617 0.0000
Rh5 0.8427 0.2415 0.6850
Rh6 0.8427 0.7585 0.6850

Values from the calculation:
formation energy from the elements: -0.232 eV per atom
total magnetization: 2.0 μB per cell

9.
Here is a relaxed structure of Np3Cd5S12 from Alexandria via LeMat-Bulk. Energies are from PBE-GGA.

Cell lengths 13.4752, 13.4752, 13.4752 Å; angles 109.47, 109.47, 109.47 degrees
Atoms (fractional coordinates):
Np1 0.1250 0.2500 0.3750
Np2 0.1250 0.3750 0.7500
Np3 0.2500 0.3750 0.1250
Np4 0.2500 0.8750 0.6250
Np5 0.3750 0.1250 0.2500
Np6 0.3750 0.7500 0.1250
Np7 0.6250 0.2500 0.8750
Np8 0.6250 0.8750 0.7500
Np9 0.7500 0.1250 0.3750
Np10 0.7500 0.6250 0.8750
Np11 0.8750 0.6250 0.2500
Np12 0.8750 0.7500 0.6250
Cd1 0.0000 0.0000 0.0000
Cd2 0.0000 0.0000 0.5000
Cd3 0.0000 0.5000 0.0000
Cd4 0.0000 0.5000 0.5000
Cd5 0.1250 0.7500 0.8750
Cd6 0.1250 0.8750 0.2500
Cd7 0.2500 0.1250 0.8750
Cd8 0.2500 0.6250 0.3750
Cd9 0.3750 0.2500 0.6250
Cd10 0.3750 0.6250 0.7500
Cd11 0.5000 0.0000 0.0000
Cd12 0.5000 0.0000 0.5000
Cd13 0.5000 0.5000 0.0000
Cd14 0.5000 0.5000 0.5000
Cd15 0.6250 0.3750 0.2500
Cd16 0.6250 0.7500 0.3750
Cd17 0.7500 0.3750 0.6250
Cd18 0.7500 0.8750 0.1250
Cd19 0.8750 0.1250 0.7500
Cd20 0.8750 0.2500 0.1250
S1 0.0540 0.2263 0.1365
S2 0.0540 0.3277 0.9175
S3 0.0825 0.6365 0.4102
S4 0.0825 0.9460 0.6723
S5 0.0898 0.7263 0.6723
S6 0.0898 0.8635 0.4175
S7 0.1365 0.0540 0.2263
S8 0.1365 0.5825 0.9102
S9 0.1723 0.2263 0.5898
S10 0.1723 0.4460 0.5825
S11 0.2263 0.1365 0.0540
S12 0.2263 0.5898 0.1723
S13 0.2737 0.3277 0.9102
S14 0.2737 0.4460 0.3635
S15 0.3277 0.9102 0.2737
S16 0.3277 0.9175 0.0540
S17 0.3635 0.2737 0.4460
S18 0.3635 0.5898 0.9175
S19 0.4102 0.0825 0.6365
S20 0.4102 0.8277 0.7737
S21 0.4175 0.0898 0.8635
S22 0.4175 0.8277 0.5540
S23 0.4460 0.3635 0.2737
S24 0.4460 0.5825 0.1723
S25 0.5540 0.4175 0.8277
S26 0.5540 0.6365 0.7263
S27 0.5825 0.1723 0.4460
S28 0.5825 0.9102 0.1365
S29 0.5898 0.1723 0.2263
S30 0.5898 0.9175 0.3635
S31 0.6365 0.4102 0.0825
S32 0.6365 0.7263 0.5540
S33 0.6723 0.0825 0.9460
S34 0.6723 0.0898 0.7263
S35 0.7263 0.5540 0.6365
S36 0.7263 0.6723 0.0898
S37 0.7737 0.4102 0.8277
S38 0.7737 0.8635 0.9460
S39 0.8277 0.5540 0.4175
S40 0.8277 0.7737 0.4102
S41 0.8635 0.4175 0.0898
S42 0.8635 0.9460 0.7737
S43 0.9102 0.1365 0.5825
S44 0.9102 0.2737 0.3277
S45 0.9175 0.0540 0.3277
S46 0.9175 0.3635 0.5898
S47 0.9460 0.6723 0.0825
S48 0.9460 0.7737 0.8635

Values from the calculation:
energy relative to the elements, uncorrected: -683 meV per atom
total magnetization: 30.1 μB per cell

10.
Here is a relaxed structure of NpCdS3 from Alexandria via LeMat-Bulk. Energies are from PBE-GGA.

Cell lengths 6.6616, 4.0992, 10.7393 Å; angles 90.00, 101.69, 90.00 degrees
Atoms (fractional coordinates):
Np1 0.0220 0.2500 0.1648
Np2 0.9780 0.7500 0.8352
Cd1 0.4638 0.2500 0.6396
Cd2 0.5362 0.7500 0.3604
S1 0.1732 0.2500 0.7545
S2 0.2079 0.7500 0.0711
S3 0.3178 0.2500 0.3802
S4 0.6822 0.7500 0.6198
S5 0.7921 0.2500 0.9289
S6 0.8268 0.7500 0.2455

Values from the calculation:
energy relative to the elements, uncorrected: -942 meV per atom
total magnetization: 6.0 μB per cell

11.
Here is a relaxed structure of NpCdS from Alexandria via LeMat-Bulk. Energies are from PBE-GGA.

Cell lengths 3.9514, 3.9514, 8.7229 Å; angles 90.00, 90.00, 90.00 degrees
Atoms (fractional coordinates):
Np1 0.2500 0.2500 0.1609
Np2 0.7500 0.7500 0.8391
Cd1 0.2500 0.7500 0.5000
Cd2 0.7500 0.2500 0.5000
S1 0.2500 0.2500 0.8479
S2 0.7500 0.7500 0.1521

Values from the calculation:
energy relative to the elements, uncorrected: -724 meV per atom
total magnetization: 9.2 μB per cell

12.
Here is a relaxed structure of Np2Tl3CdS6 from Alexandria via LeMat-Bulk. Energies are from PBE-GGA.

Cell lengths 6.9329, 6.9329, 7.8872 Å; angles 98.35, 98.35, 120.03 degrees
Atoms (fractional coordinates):
Np1 0.1670 0.8330 0.0000
Np2 0.8330 0.1670 0.0000
Tl1 0.0000 0.0000 0.5000
Tl2 0.3356 0.6644 0.5000
Tl3 0.6644 0.3356 0.5000
Cd1 0.5000 0.5000 0.0000
S1 0.0908 0.4339 0.8007
S2 0.2240 0.2240 0.1957
S3 0.4339 0.0908 0.8007
S4 0.5661 0.9092 0.1993
S5 0.7760 0.7760 0.8043
S6 0.9092 0.5661 0.1993

Values from the calculation:
energy relative to the elements, uncorrected: -859 meV per atom
total magnetization: 7.0 μB per cell

13.
Here is a relaxed structure of NpTl3Cd2S6 from Alexandria via LeMat-Bulk. Energies are from PBE-GGA.

Cell lengths 6.8186, 6.8186, 7.8284 Å; angles 98.10, 98.10, 120.25 degrees
Atoms (fractional coordinates):
Np1 0.0000 0.0000 0.0000
Tl1 0.1695 0.8305 0.5000
Tl2 0.5000 0.5000 0.5000
Tl3 0.8305 0.1695 0.5000
Cd1 0.3343 0.6657 0.0000
Cd2 0.6657 0.3343 0.0000
S1 0.0682 0.3860 0.1989
S2 0.2487 0.2487 0.7930
S3 0.3860 0.0682 0.1989
S4 0.6140 0.9318 0.8011
S5 0.7513 0.7513 0.2070
S6 0.9318 0.6140 0.8011

Values from the calculation:
energy relative to the elements, uncorrected: -645 meV per atom
total magnetization: 2.0 μB per cell

14.
Here is a relaxed structure of NpCdSb2 from Alexandria via LeMat-Bulk. Energies are from PBE-GGA.

Cell lengths 3.9716, 3.9716, 6.6048 Å; angles 90.00, 90.00, 90.00 degrees
Atoms (fractional coordinates):
Np1 0.0000 0.0000 0.0000
Cd1 0.0000 0.0000 0.5000
Sb1 0.5000 0.5000 0.2399
Sb2 0.5000 0.5000 0.7601

Values from the calculation:
energy relative to the elements, uncorrected: -66 meV per atom
total magnetization: 4.0 μB per cell

15.
Here is a relaxed structure of NpCdSb2 from Alexandria via LeMat-Bulk. Energies are from PBE-GGA.

Cell lengths 5.2823, 5.2823, 5.2823 Å; angles 60.00, 60.00, 60.00 degrees
Atoms (fractional coordinates):
Np1 0.0000 0.0000 0.0000
Cd1 0.5000 0.5000 0.5000
Sb1 0.2500 0.2500 0.2500
Sb2 0.7500 0.7500 0.7500

Values from the calculation:
energy relative to the elements, uncorrected: 78 meV per atom
total magnetization: 4.3 μB per cell

16.
Here is a relaxed structure of Np2CdSb4 from Alexandria via LeMat-Bulk. Energies are from PBE-GGA.

Cell lengths 4.3165, 4.3165, 10.4723 Å; angles 90.00, 90.00, 90.00 degrees
Atoms (fractional coordinates):
Np1 0.0000 0.5000 0.2324
Np2 0.5000 0.0000 0.7676
Cd1 0.0000 0.0000 0.5000
Sb1 0.0000 0.0000 0.0000
Sb2 0.0000 0.5000 0.6868
Sb3 0.5000 0.0000 0.3132
Sb4 0.5000 0.5000 0.0000

Values from the calculation:
energy relative to the elements, uncorrected: -188 meV per atom
total magnetization: 7.4 μB per cell

17.
Here is a relaxed structure of NpCdSb2 from Alexandria via LeMat-Bulk. Energies are from PBE-GGA.

Cell lengths 8.9694, 8.9694, 8.9694 Å; angles 29.94, 29.94, 29.94 degrees
Atoms (fractional coordinates):
Np1 0.0000 0.0000 0.0000
Cd1 0.5000 0.5000 0.5000
Sb1 0.3942 0.3942 0.3942
Sb2 0.6058 0.6058 0.6058

Values from the calculation:
energy relative to the elements, uncorrected: 218 meV per atom
total magnetization: 3.2 μB per cell

18.
Here is a relaxed structure of NpCdSb2 from Alexandria via LeMat-Bulk. Energies are from PBE-GGA.

Cell lengths 4.8896, 4.8896, 4.1659 Å; angles 90.00, 90.00, 90.00 degrees
Atoms (fractional coordinates):
Np1 0.0000 0.0000 0.0000
Cd1 0.5000 0.5000 0.0000
Sb1 0.0000 0.5000 0.5000
Sb2 0.5000 0.0000 0.5000

Values from the calculation:
energy relative to the elements, uncorrected: -178 meV per atom
total magnetization: 3.8 μB per cell

19.
Here is a relaxed structure of NpCdSb2 from Alexandria via LeMat-Bulk. Energies are from PBE-GGA.

Cell lengths 7.1847, 7.1847, 7.1847 Å; angles 36.51, 36.51, 36.51 degrees
Atoms (fractional coordinates):
Np1 0.0000 0.0000 0.0000
Cd1 0.1714 0.1714 0.1714
Sb1 0.4155 0.4155 0.4155
Sb2 0.5844 0.5844 0.5844

Values from the calculation:
energy relative to the elements, uncorrected: 13 meV per atom
total magnetization: 3.8 μB per cell

20.
Here is a relaxed structure of NpCdSb2 from Alexandria via LeMat-Bulk. Energies are from PBE-GGA.

Cell lengths 4.3706, 4.3706, 10.6904 Å; angles 90.00, 90.00, 90.00 degrees
Atoms (fractional coordinates):
Np1 0.2500 0.2500 0.2263
Np2 0.7500 0.7500 0.7737
Cd1 0.2500 0.7500 0.5000
Cd2 0.7500 0.2500 0.5000
Sb1 0.2500 0.2500 0.7113
Sb2 0.2500 0.7500 0.0000
Sb3 0.7500 0.2500 0.0000
Sb4 0.7500 0.7500 0.2887

Values from the calculation:
energy relative to the elements, uncorrected: -171 meV per atom
total magnetization: 8.9 μB per cell

Looking at DOS at the Fermi energy for the records above, in order, we have 1.4751, 1.1136, 1.1905, 1.4309, 1.6149, 1.3758, 1.9077, 0.6803, 1.8076, 1.8719, 2.7318, 1.4524, 0.6071, 2.5661, 3.7675, 2.9221, 2.6470, 2.6751, 3.1859, 2.4994 states/eV per atom.